{"formula": "SrSi2Sn2Au7", "functional": "PBE", "state": "optimized geometry", "lattice_angstrom": [[3.0184, -3.5305, 0.0000], [3.0184, 3.5305, 0.0000], [-1.3143, 0.0000, 12.8848]], "species": ["Sr", "Si", "Si", "Sn", "Sn", "Au", "Au", "Au", "Au", "Au", "Au", "Au"], "frac_coords": [[0.0000, 0.0000, 0.0000], [0.3507, 0.3507, 0.2342], [0.6493, 0.6493, 0.7658], [0.1666, 0.1666, 0.6178], [0.8334, 0.8334, 0.3822], [0.1174, 0.5169, 0.8151], [0.3199, 0.3199, 0.4198], [0.4831, 0.8826, 0.1849], [0.5000, 0.5000, 0.0000], [0.5169, 0.1174, 0.8151], [0.6801, 0.6801, 0.5802], [0.8826, 0.4831, 0.1849]], "formation_energy_uncorrected_ev_per_atom": -0.187, "vol_a3_per_cell": 274.6, "energy_ev_per_atom": -3.8102, "m_tot_mub_per_fu": 0.00, "sg": "C2/m, No. 12"}


{"formula": "AlReF3", "functional": "PBE", "state": "optimized geometry", "lattice_angstrom": [[4.1012, 0.0000, 0.0000], [0.0000, 4.1012, 0.0000], [0.0000, 0.0000, 4.1012]], "species": ["Al", "Re", "F", "F", "F"], "frac_coords": [[0.0000, 0.0000, 0.0000], [0.5000, 0.5000, 0.5000], [0.0000, 0.0000, 0.5000], [0.0000, 0.5000, 0.0000], [0.5000, 0.0000, 0.0000]], "formation_energy_uncorrected_ev_per_atom": -0.759, "vol_a3_per_cell": 69.0, "energy_ev_per_atom": -5.1200, "m_tot_mub_per_fu": 5.00, "sg": "Pm-3m, No. 221", "de_polymorph_kj_per_mol_fu": 0}